! Sc3UOs3 PBE optimized geometry; values from VASP
! Energy of formation: -29.2 kJ/mol of atoms
! Space-group type: R-3m (166)
&SYSTEM
  ibrav = 0, nat = 7, ntyp = 3
/
ATOMIC_SPECIES
Sc 44.96 Sc.upf
Os 190.23 Os.upf
U 238.03 U.upf
CELL_PARAMETERS angstrom
-3.966 -3.129 -2.333
4.108 1.172 -3.841
2.152 -2.762 4.324
ATOMIC_POSITIONS angstrom
Sc -1.967 -1.559 -1.179
Sc 1.163 -2.357 -0.939
Sc 1.090 -1.376 2.146
Os -0.892 -2.941 0.982
Os 0.086 -0.974 -3.100
Os 3.145 -0.791 0.228
U 2.067 0.590 -1.932

! TmMn2Ni9 PBE optimized geometry; values from VASP
! Energy of formation: -16.4 kJ/mol of atoms
! Energy above the lowest structure with this stoichiometry: 19 meV/atom
! Space-group type: R-3m (166)
&SYSTEM
  ibrav = 0, nat = 12, ntyp = 3
/
ATOMIC_SPECIES
Ni 58.69 Ni.upf
Mn 54.94 Mn.upf
Tm 168.93 Tm.upf
CELL_PARAMETERS angstrom
4.785 0.000 0.000
2.392 4.144 0.000
2.392 1.381 7.765
ATOMIC_POSITIONS angstrom
Ni 4.785 2.763 0.016
Ni 4.785 2.763 7.749
Ni 4.785 2.763 3.882
Ni 3.572 2.062 2.003
Ni 4.785 4.164 2.003
Ni 4.785 1.361 5.762
Ni 3.572 3.463 5.762
Ni 5.998 3.463 5.762
Ni 5.998 2.062 2.003
Mn 2.393 1.381 4.397
Mn 7.177 4.144 3.368
Tm 0.000 0.000 0.000

! TaIn4Co PBE optimized geometry; values from VASP
! Energy of formation: 88.0 kJ/mol of atoms
! Space-group type: F-43m (216)
&SYSTEM
  ibrav = 0, nat = 6, ntyp = 3
/
ATOMIC_SPECIES
In 114.82 In.upf
Co 58.93 Co.upf
Ta 180.95 Ta.upf
CELL_PARAMETERS angstrom
-0.953 2.915 4.780
-3.980 -1.755 3.651
1.516 -2.194 5.014
ATOMIC_POSITIONS angstrom
In -1.281 -0.388 5.040
In -1.758 1.071 7.432
In -3.272 -1.266 6.867
In -0.523 -1.486 7.549
Co 0.000 0.000 0.000
Ta -2.563 -0.776 10.083

Number 1: final energy -0.694 Ry per atom. Number 2: final energy -0.471 Ry per atom. Number 3: final energy -0.299 Ry per atom.